First-principles (PBE) data for a geometry-optimized Tm5Cd2Rh2 structure, as listed in Alexandria.

Cell lengths 16.0141, 7.3927, 7.4773 Å; angles 90.00, 90.00, 90.00 degrees
Space group Cmce (No. 64)
Symmetry-distinct sites (fractional):
Tm: 0.0000 0.0000 0.0000 (multiplicity 4)
Tm: 0.1192 0.1724 0.3285 (multiplicity 16)
Cd: 0.2182 0.0000 0.0000 (multiplicity 8)
Rh: 0.0000 0.1333 0.6349 (multiplicity 8)

Values from the calculation:
- Formation energy: -0.5625 eV/atom
- Raw total energy: -4.884 eV per atom
- Size of the total moment: 0.00 μB per cell